Model one:
# YAgSnTe3 PBE optimized geometry
# **Magnetization**: 0.0 μB per cell
# **ρ**: 6.5 g cm⁻³
data_YAgSnTe3
_symmetry_space_group_name_H-M 'P 1'
_symmetry_Int_Tables_number 1
_symmetry_space_group_name_Hall 'P 1'
_cell_length_a 11.223
_cell_length_b 4.341
_cell_length_c 14.599
_cell_angle_alpha 90.00
_cell_angle_beta 90.00
_cell_angle_gamma 90.00
loop_
_atom_site_label
_atom_site_fract_x
_atom_site_fract_y
_atom_site_fract_z
_atom_site_occupancy
Ag1 0.761 0.750 0.224 1
Ag2 0.261 0.750 0.276 1
Ag3 0.739 0.250 0.724 1
Ag4 0.239 0.250 0.776 1
Sn1 0.783 0.250 0.013 1
Sn2 0.283 0.250 0.487 1
Sn3 0.717 0.750 0.513 1
Sn4 0.217 0.750 0.987 1
Te1 0.576 0.750 0.098 1
Te2 0.963 0.750 0.107 1
Te3 0.266 0.250 0.152 1
Te4 0.766 0.250 0.348 1
Te5 0.463 0.750 0.393 1
Te6 0.076 0.750 0.402 1
Te7 0.924 0.250 0.598 1
Te8 0.537 0.250 0.607 1
Te9 0.234 0.750 0.652 1
Te10 0.734 0.750 0.848 1
Te11 0.037 0.250 0.893 1
Te12 0.424 0.250 0.902 1
Y1 0.521 0.250 0.242 1
Y2 0.021 0.250 0.258 1
Y3 0.979 0.750 0.742 1
Y4 0.479 0.750 0.758 1



Model two:
# YAgSnTe3 PBE optimized geometry
# **Magnetization**: 0.0 μB per cell
# **ρ**: 6.3 g cm⁻³
data_YAgSnTe3
_symmetry_space_group_name_H-M 'P 1'
_symmetry_Int_Tables_number 1
_symmetry_space_group_name_Hall 'P 1'
_cell_length_a 9.968
_cell_length_b 9.968
_cell_length_c 8.954
_cell_angle_alpha 101.91
_cell_angle_beta 101.91
_cell_angle_gamma 24.91
loop_
_atom_site_label
_atom_site_fract_x
_atom_site_fract_y
_atom_site_fract_z
_atom_site_occupancy
Ag1 0.542 0.542 0.214 1
Ag2 0.458 0.458 0.786 1
Sn1 0.872 0.872 0.430 1
Sn2 0.128 0.128 0.570 1
Te1 0.000 0.000 0.000 1
Te2 0.327 0.327 0.153 1
Te3 0.687 0.687 0.342 1
Te4 0.500 0.500 0.500 1
Te5 0.313 0.313 0.658 1
Te6 0.673 0.673 0.847 1
Y1 0.163 0.163 0.089 1
Y2 0.837 0.837 0.911 1



Of them, the most stable is model one and the least stable is model two.